Record 1
Below is a PBEsol-optimized structure of YGaBr3, with properties calculated at the SCAN level.

Cell lengths 5.4827, 5.4827, 5.4827 Å; angles 90.00, 90.00, 90.00 degrees
Positions (direct):
Y1 0.0000 0.0000 0.0000
Ga1 0.5000 0.5000 0.5000
Br1 0.0000 0.5000 0.0000
Br2 0.0000 0.0000 0.5000
Br3 0.5000 0.0000 0.0000

The calculation puts the final energy at -21.655 eV/atom. As for the raw formation energy: -110.09 kJ per mole of atoms. As for the volume: 33.0 A^3/atom. The crystal system is cubic. As for the symmetry: Pm-3m (221). Its magnetization is 0.014 μB per cell.

Record 2
Below is a PBEsol-optimized structure of ZnGaBr2, with properties calculated at the SCAN level.

Cell lengths 3.7949, 3.7949, 9.1932 Å; angles 78.09, 78.09, 60.00 degrees
Positions (direct):
Zn1 0.0000 0.0000 0.0000
Ga1 0.5000 0.5000 0.5000
Br1 0.9083 0.9083 0.2752
Br2 0.0917 0.0917 0.7248

The calculation puts the final energy at -17.301 eV/atom. As for the raw formation energy: -10.25 kJ per mole of atoms. As for the volume: 27.8 A^3/atom. The crystal system is trigonal. As for the symmetry: R-3m (166). Its magnetization is 0.000 μB per cell.

Record 3
Below is a PBEsol-optimized structure of Zr2GaBr, with properties calculated at the SCAN level.

Cell lengths 4.7606, 4.7606, 4.7606 Å; angles 60.00, 60.00, 60.00 degrees
Positions (direct):
Ga1 0.0000 0.0000 0.0000
Br1 0.5000 0.5000 0.5000
Zr1 0.2500 0.2500 0.2500
Zr2 0.7500 0.7500 0.7500

The calculation puts the final energy at -24.582 eV/atom. As for the raw formation energy: -27.09 kJ per mole of atoms. As for the volume: 19.1 A^3/atom. The crystal system is cubic. As for the symmetry: Fm-3m (225). Its magnetization is 0.000 μB per cell.

Record 4
Below is a PBEsol-optimized structure of GdBr3, with properties calculated at the SCAN level.

Cell lengths 7.2066, 7.1986, 6.9130 Å; angles 80.40, 70.54, 59.96 degrees
Site moments in Bohr magnetons follow the coordinates.
Positions (direct):
Gd1 0.1663 0.6674 0.0000  7.00
Gd2 0.8337 0.3326 0.0000  7.00
Br1 0.4220 0.6395 0.2444  -0.04
Br2 0.9384 0.6395 0.7556  -0.04
Br3 0.2147 0.0000 0.7514  -0.04
Br4 0.7853 0.0000 0.2486  -0.04
Br5 0.0616 0.3605 0.2444  -0.04
Br6 0.5780 0.3605 0.7556  -0.04

The calculation puts the final energy at -31.336 eV/atom. As for the raw formation energy: -196.53 kJ per mole of atoms. As for the volume: 36.6 A^3/atom. The crystal system is monoclinic. As for the symmetry: C2/m (12). Its magnetization is 13.900 μB per cell.